VASP calculation (PBE) on an optimized crystal structure of Pm2BeSiAu6.

Summary:
For the uncorrected formation energy, the calculation gives -476 meV per atom. The value obtained for the total energy is -43.07 eV per cell.

```
Pm2BeSiAu6
1.0
6.560 0.000 0.000
3.273 5.731 0.000
3.270 1.903 5.483
Pm Be Si Au
2 1 1 6
Direct
0.206 0.211 0.374
0.794 0.789 0.626
0.000 0.000 0.000
0.500 0.500 0.500
0.183 0.303 0.819
0.304 0.822 0.182
0.306 0.695 0.820
0.694 0.305 0.180
0.696 0.178 0.818
0.817 0.697 0.181
```